First-principles (GGA-PBE) data for a geometry-optimized ZnTc2Br structure, as listed in Alexandria.

Cell lengths 4.7215, 4.7215, 4.7215 Å; angles 127.98, 127.98, 76.66 degrees
Fractional positions:
Br1 0.7500 0.2500 0.5000
Tc1 0.0000 0.0000 0.0000
Tc2 0.2500 0.7500 0.5000
Zn1 0.5000 0.5000 0.0000

Results
The energy above the most stable polymorph in this dataset comes out at 2.71 eV per formula unit. The raw total energy is -5.09 eV per atom.

***

First-principles (GGA-PBE) data for a geometry-optimized AcPu2MnN4 structure, as listed in Alexandria.

Cell lengths 3.4661, 6.1439, 11.5808 Å; angles 90.00, 90.00, 106.38 degrees
Fractional positions:
Ac1 0.1008 0.2015 0.7500
Ac2 0.8992 0.7985 0.2500
Pu1 0.3683 0.7366 0.5521
Pu2 0.6317 0.2634 0.0521
Pu3 0.6317 0.2634 0.4479
Pu4 0.3683 0.7366 0.9479
Mn1 0.8368 0.6737 0.7500
Mn2 0.1632 0.3263 0.2500
N1 0.2624 0.5248 0.1122
N2 0.7376 0.4752 0.6122
N3 0.7376 0.4752 0.8878
N4 0.2624 0.5248 0.3878
N5 0.0000 0.0000 0.5000
N6 0.0000 0.0000 0.0000
N7 0.4272 0.8544 0.7500
N8 0.5728 0.1456 0.2500

Results
The raw total energy is -10.44 eV per atom.

***

First-principles (GGA-PBE) data for a geometry-optimized MoRuRh2 structure, as listed in Alexandria.

Cell lengths 4.3825, 5.4938, 5.4938 Å; angles 119.78, 90.00, 90.00 degrees
Fractional positions:
Mo1 0.5000 0.6655 0.3345
Mo2 0.0000 0.3347 0.6653
Ru1 0.5000 0.6672 0.8331
Ru2 0.5000 0.1669 0.3328
Rh1 0.5000 0.1662 0.8338
Rh2 0.0000 0.3331 0.1669
Rh3 0.0000 0.8331 0.6669
Rh4 0.0000 0.8335 0.1665

Results
The calculation puts the formation enthalpy at 0 K at -20.1 kJ per mole of atoms. The energy above the most stable polymorph in this dataset comes out at 0.00 eV per formula unit. The raw total energy is -8.91 eV per atom.